Here is an optimized crystal structure of CrPdPt from the Alexandria database. Energies are from PBE-GGA.

a = 4.776 Å, b = 8.205 Å, c = 4.847 Å
α = 90.00°, β = 111.08°, γ = 90.00°
Space group C2/c (No. 15)
Unique sites:
Cr: 0.000 0.092 0.250 x4
Pd: 0.000 0.242 0.750 x4
Pt: 0.000 0.421 0.250 x4

Results
**Mass density**: 13.25 g cm⁻³
**Total DFT energy (no corrections)**: -7.04 eV/atom
**Calculated formation energy**: -0.09 eV per atom
**Calculated volume**: 177 Å³/cell
**Relative energy among the computed polymorphs**: 0.048 eV/f.u.